Below is a geometry-optimized RbTe2WN structure, with properties calculated at the PBE level.

Its energy above the most stable polymorph in this dataset is 250.98 kJ/mol of atoms. As for the calculated total energy: -3.099 eV/atom. As for the density of states at the Fermi level: 0.778 states/eV/atom.

It has space group P4/mmm (No. 123), with a = 6.0830 Å, b = 6.0830 Å, c = 4.3776 Å, α = 90.00°, β = 90.00° and γ = 90.00°. The asymmetric unit holds Rb at (0.0000, 0.0000, 0.0000), Te at (0.0000, 0.5000, 0.0000), W at (0.5000, 0.5000, 0.5000) and N at (0.0000, 0.0000, 0.5000).